1.
Entry from the Alexandria database: Li2MgRe2 after structural relaxation (PBE).

a = 3.6717 Å, b = 3.6717 Å, c = 6.2596 Å
α = 72.95°, β = 72.95°, γ = 90.00°
With the nearest neighbours (Å) after each atom.
Fractional positions:
Li  0.5928  0.5928  0.8144  1 Li 2.11
Li  0.4072  0.4072  0.1856  1 Li 2.11
Re  0.7500  0.2500  0.5000  4 Li 2.56, 4 Re 2.60
Re  0.2500  0.7500  0.5000  4 Li 2.56, 4 Re 2.60
Mg  0.0000  0.0000  0.0000  8 Li 2.80

Output
electronic total energy: -5.514 eV/atom
E_form: 2.7 eV/f.u.
Fermi-level density of states: 2.32 states/eV/cell

***

2.
Entry from the Alexandria database: LaAlV2Mo after structural relaxation (PBE).

a = 4.6508 Å, b = 5.0061 Å, c = 4.6508 Å
α = 90.00°, β = 90.00°, γ = 90.00°
With the nearest neighbours (Å) after each atom.
Fractional positions:
V  0.0000  0.0000  0.5000  2 Mo 2.33
V  0.5000  0.0000  0.0000  2 Mo 2.33
Mo  0.0000  0.0000  0.0000  4 V 2.33, 2 Al 2.50
La  0.5000  0.5000  0.5000  4 Al 3.29, 8 V 3.42
Al  0.0000  0.5000  0.0000  2 Mo 2.50

Output
electronic total energy: -6.995 eV/atom
E_form: 2.8 eV/f.u.
Fermi-level density of states: 8.23 states/eV/cell